Computed, not measured: a relaxed structure of Np2BiTe at the PBE level of DFT.

Unit cell a=3.732 b=3.732 c=7.853 alpha=90.00 beta=90.00 gamma=90.00
Each line ends with the local moment (μB).
Fractional coordinates of all 4 atoms:
1 Np 0.000 0.000 0.759  4.28
2 Np 0.000 0.000 0.241  4.28
3 Te 0.500 0.500 0.000  -0.12
4 Bi 0.500 0.500 0.500  -0.12

Symmetry: P4/mmm, No. 123
Total magnetic moment: 9.44 Bohr magnetons per cell
Excess energy over the best structure of this formula in the dataset: 9.7 meV per atom
Formation energy without anion corrections: -0.2177 eV per atom
Total DFT energy (no corrections): -8.444 eV/atom